No. 1
Here is a geometry-optimized BeAgPb2 structure from the Open Quantum Materials Database. Energies are from GGA-PBE.

Structure (POSCAR):
```
BeAgPb2
1.0
0.000 3.591 3.591
3.591 0.000 3.591
3.591 3.591 0.000
Pb Ag Be
2 1 1
Cartesian
1.796 1.796 1.796
0.000 0.000 0.000
3.591 3.591 3.591
5.387 5.387 5.387
```

Results
E_tot ... -2.89 eV per atom
SG ... F-43m

No. 2
Here is a geometry-optimized Be2AgPb structure from the Open Quantum Materials Database. Energies are from GGA-PBE.

Structure (POSCAR):
```
Be2AgPb
1.0
0.073 -4.599 -0.350
-3.010 -2.152 -2.754
1.456 -1.994 -3.896
Be Ag Pb
2 1 1
Cartesian
0.000 0.000 0.000
-1.111 -6.558 -5.250
-0.370 -2.186 -1.750
-0.741 -4.372 -3.500
```

Results
E_tot ... -2.70 eV per atom
SG ... F-43m

No. 3
Here is a geometry-optimized BeAg2Pd structure from the Open Quantum Materials Database. Energies are from GGA-PBE.

Structure (POSCAR):
```
BeAg2Pd
1.0
0.000 3.095 3.095
3.095 0.000 3.095
3.095 3.095 0.000
Be Pd Ag
1 1 2
Cartesian
3.095 3.095 3.095
1.548 1.548 1.548
4.643 4.643 4.643
0.000 0.000 0.000
```

Results
E_tot ... -3.59 eV per atom
SG ... F-43m

No. 4
Here is a geometry-optimized Be2AgPd structure from the Open Quantum Materials Database. Energies are from GGA-PBE.

Structure (POSCAR):
```
Be2AgPd
1.0
0.393 0.830 4.086
-2.064 -2.315 2.815
2.098 -2.643 2.481
Pd Be Ag
1 2 1
Cartesian
0.000 0.000 0.000
0.107 -1.032 2.345
0.214 -2.064 4.691
0.321 -3.096 7.036
```

Results
E_tot ... -3.75 eV per atom
SG ... F-43m

No. 5
Here is a geometry-optimized BeAgSbPd structure from the Open Quantum Materials Database. Energies are from GGA-PBE.

Structure (POSCAR):
```
BeAgSbPd
1.0
0.000 3.221 3.221
3.221 0.000 3.221
3.221 3.221 0.000
Sb Be Pd Ag
1 1 1 1
Cartesian
1.611 1.611 1.611
4.832 4.832 4.832
3.221 3.221 3.221
0.000 0.000 0.000
```

Results
E_tot ... -3.83 eV per atom
SG ... F-43m

No. 6
Here is a geometry-optimized Pm2Be2Ag structure from the Open Quantum Materials Database. Energies are from GGA-PBE.

Structure (POSCAR):
```
Pm2Be2Ag
1.0
-1.096 6.527 -5.496
-2.284 -5.096 6.545
3.147 4.220 4.384
Be Pm Ag
4 4 2
Cartesian
-1.667 -1.543 3.682
0.448 5.873 0.377
-0.681 -0.221 5.055
1.434 7.195 1.751
0.330 7.409 -2.102
-1.193 5.366 -4.224
-0.563 -1.757 7.534
0.960 0.286 9.656
0.418 1.417 6.365
-0.652 4.235 -0.933
```

Results
E_tot ... -3.79 eV per atom
SG ... Cmcm

No. 7
Here is a geometry-optimized PrBeAg structure from the Open Quantum Materials Database. Energies are from GGA-PBE.

Structure (POSCAR):
```
PrBeAg
1.0
0.000 3.418 3.418
3.418 0.000 3.418
3.418 3.418 0.000
Pr Be Ag
1 1 1
Cartesian
0.000 0.000 0.000
5.127 5.127 5.127
1.709 1.709 1.709
```

Results
E_tot ... -3.10 eV per atom
SG ... F-43m

No. 8
Here is a geometry-optimized BeAgPt structure from the Open Quantum Materials Database. Energies are from GGA-PBE.

Structure (POSCAR):
```
BeAgPt
1.0
0.000 2.796 2.796
2.796 0.000 2.796
2.796 2.796 0.000
Be Pt Ag
1 1 1
Cartesian
0.000 0.000 0.000
4.194 4.194 4.194
1.398 1.398 1.398
```

Results
E_tot ... -4.39 eV per atom
SG ... F-43m

No. 9
Here is a geometry-optimized Be2AgPt structure from the Open Quantum Materials Database. Energies are from GGA-PBE.

Structure (POSCAR):
```
Be2AgPt
1.0
2.089 -1.952 -3.098
2.450 -3.317 0.874
-1.167 -3.862 -1.221
Be Pt Ag
2 1 1
Cartesian
1.686 -4.565 -1.722
0.843 -2.283 -0.861
0.000 0.000 0.000
2.529 -6.848 -2.584
```

Results
E_tot ... -3.99 eV per atom
SG ... F-43m

No. 10
Here is a geometry-optimized BeAgSbPt structure from the Open Quantum Materials Database. Energies are from GGA-PBE.

Structure (POSCAR):
```
BeAgSbPt
1.0
-2.651 -2.276 2.928
-4.336 -0.903 -1.080
-1.274 -4.277 -0.930
Pt Be Sb Ag
1 1 1 1
Cartesian
-4.131 -3.729 0.459
-6.196 -5.593 0.689
-2.065 -1.864 0.230
0.000 0.000 0.000
```

Results
E_tot ... -4.04 eV per atom
SG ... F-43m

No. 11
Here is a geometry-optimized TaBeAgPt structure from the Open Quantum Materials Database. Energies are from GGA-PBE.

Structure (POSCAR):
```
TaBeAgPt
1.0
0.000 3.129 3.129
3.129 0.000 3.129
3.129 3.129 0.000
Be Ta Pt Ag
1 1 1 1
Cartesian
4.693 4.693 4.693
1.564 1.564 1.564
3.129 3.129 3.129
0.000 0.000 0.000
```

Results
E_tot ... -6.17 eV per atom
SG ... F-43m

No. 12
Here is a geometry-optimized TaBeAgPt structure from the Open Quantum Materials Database. Energies are from GGA-PBE.

Structure (POSCAR):
```
TaBeAgPt
1.0
0.000 3.098 3.098
3.098 0.000 3.098
3.098 3.098 0.000
Ta Be Pt Ag
1 1 1 1
Cartesian
0.000 0.000 0.000
4.647 4.647 4.647
3.098 3.098 3.098
1.549 1.549 1.549
```

Results
E_tot ... -5.98 eV per atom
SG ... F-43m

No. 13
Here is a geometry-optimized TaBeAgPt structure from the Open Quantum Materials Database. Energies are from GGA-PBE.

Structure (POSCAR):
```
TaBeAgPt
1.0
0.000 3.115 3.115
3.115 0.000 3.115
3.115 3.115 0.000
Be Pt Ag Ta
1 1 1 1
Cartesian
4.673 4.673 4.673
1.558 1.558 1.558
3.115 3.115 3.115
0.000 0.000 0.000
```

Results
E_tot ... -6.16 eV per atom
SG ... F-43m

No. 14
Here is a geometry-optimized RbBeAg structure from the Open Quantum Materials Database. Energies are from GGA-PBE.

Structure (POSCAR):
```
RbBeAg
1.0
2.939 -2.951 -2.880
-1.384 -4.772 -0.974
-1.505 -1.299 -4.657
Be Ag Rb
1 1 1
Cartesian
0.000 0.000 0.000
0.012 -2.255 -2.128
0.037 -6.766 -6.383
```

Results
E_tot ... -1.59 eV per atom
SG ... F-43m

No. 15
Here is a geometry-optimized RbBeAg structure from the Open Quantum Materials Database. Energies are from GGA-PBE.

Structure (POSCAR):
```
RbBeAg
1.0
0.965 -4.675 -1.911
3.005 -3.268 2.595
-2.046 -4.160 2.225
Ag Rb Be
1 1 1
Cartesian
0.000 0.000 0.000
1.443 -9.077 2.181
0.481 -3.026 0.727
```

Results
E_tot ... -1.56 eV per atom
SG ... F-43m

No. 16
Here is a geometry-optimized Be2ReAg structure from the Open Quantum Materials Database. Energies are from GGA-PBE.

Structure (POSCAR):
```
Be2ReAg
1.0
0.000 2.970 2.970
2.970 0.000 2.970
2.970 2.970 0.000
Be Re Ag
2 1 1
Cartesian
2.970 2.970 2.970
1.485 1.485 1.485
0.000 0.000 0.000
4.454 4.454 4.454
```

Results
E_tot ... -4.88 eV per atom
SG ... F-43m

No. 17
Here is a geometry-optimized Be3Re2Ag2 structure from the Open Quantum Materials Database. Energies are from GGA-PBE.

Structure (POSCAR):
```
Be3Re2Ag2
1.0
-5.628 2.787 2.787
-2.787 2.787 5.628
-2.787 5.628 2.787
Re Ag Be
2 2 3
Cartesian
-8.443 8.443 8.443
-2.761 2.761 2.761
-0.031 0.031 0.031
-5.567 5.567 5.567
-9.812 9.812 9.812
-7.009 7.009 7.009
-4.185 4.185 4.185
```

Results
E_tot ... -5.33 eV per atom
SG ... R3m

No. 18
Here is a geometry-optimized BeRe2Ag structure from the Open Quantum Materials Database. Energies are from GGA-PBE.

Structure (POSCAR):
```
BeRe2Ag
1.0
0.000 3.051 3.051
3.051 0.000 3.051
3.051 3.051 0.000
Re Be Ag
2 1 1
Cartesian
0.000 0.000 0.000
4.576 4.576 4.576
3.051 3.051 3.051
1.525 1.525 1.525
```

Results
E_tot ... -7.34 eV per atom
SG ... F-43m

No. 19
Here is a geometry-optimized BeAg2Sb structure from the Open Quantum Materials Database. Energies are from GGA-PBE.

Structure (POSCAR):
```
BeAg2Sb
1.0
1.723 -3.928 1.888
-2.907 -3.402 1.391
-0.201 -4.030 -2.384
Ag Be Sb
2 1 1
Cartesian
-1.039 -8.520 0.671
0.000 0.000 0.000
-0.346 -2.840 0.224
-0.692 -5.680 0.448
```

Results
E_tot ... -2.96 eV per atom
SG ... F-43m

No. 20
Here is a geometry-optimized Sc2BeAg structure from the Open Quantum Materials Database. Energies are from GGA-PBE.

Structure (POSCAR):
```
Sc2BeAg
1.0
2.856 -3.605 0.378
-1.178 -4.077 -1.812
2.209 -1.594 -3.724
Be Sc Ag
1 2 1
Cartesian
1.944 -4.638 -2.579
2.915 -6.957 -3.869
0.000 0.000 0.000
0.972 -2.319 -1.290
```

Results
E_tot ... -4.67 eV per atom
SG ... F-43m

No. 21
Here is a geometry-optimized ScBeAg2 structure from the Open Quantum Materials Database. Energies are from GGA-PBE.

Structure (POSCAR):
```
ScBeAg2
1.0
0.000 3.196 3.196
3.196 0.000 3.196
3.196 3.196 0.000
Ag Sc Be
2 1 1
Cartesian
4.793 4.793 4.793
0.000 0.000 0.000
1.598 1.598 1.598
3.195 3.195 3.195
```

Results
E_tot ... -3.90 eV per atom
SG ... F-43m

No. 22
Here is a geometry-optimized Be2SiAg structure from the Open Quantum Materials Database. Energies are from GGA-PBE.

Structure (POSCAR):
```
Be2SiAg
1.0
2.789 -3.030 -0.780
1.357 -2.452 3.117
-1.172 -4.021 0.166
Be Si Ag
2 1 1
Cartesian
2.230 -7.127 1.878
0.000 0.000 0.000
1.487 -4.751 1.252
0.743 -2.376 0.626
```

Results
E_tot ... -3.30 eV per atom
SG ... F-43m

No. 23
Here is a geometry-optimized BeSi2Ag structure from the Open Quantum Materials Database. Energies are from GGA-PBE.

Structure (POSCAR):
```
BeSi2Ag
1.0
1.053 -3.831 -1.816
-2.181 -3.618 1.113
-2.714 -1.881 -2.860
Be Ag Si
1 1 2
Cartesian
0.000 0.000 0.000
-2.881 -6.997 -2.673
-0.960 -2.332 -0.891
-1.921 -4.665 -1.782
```

Results
E_tot ... -3.74 eV per atom
SG ... F-43m

No. 24
Here is a geometry-optimized BeSiAg2 structure from the Open Quantum Materials Database. Energies are from GGA-PBE.

Structure (POSCAR):
```
BeSiAg2
1.0
3.577 -2.108 -1.466
2.800 -1.836 2.860
0.258 -4.384 0.322
Si Be Ag
1 1 2
Cartesian
3.317 -4.164 0.858
1.659 -2.082 0.429
4.976 -6.246 1.287
0.000 0.000 0.000
```

Results
E_tot ... -3.25 eV per atom
SG ... F-43m

No. 25
Here is a geometry-optimized BeAgSn2 structure from the Open Quantum Materials Database. Energies are from GGA-PBE.

Structure (POSCAR):
```
BeAgSn2
1.0
-3.011 -3.851 0.584
-3.035 -0.187 3.872
-4.850 0.548 -0.645
Ag Sn Be
1 2 1
Cartesian
-5.448 -1.745 1.905
-2.724 -0.872 0.953
0.000 0.000 0.000
-8.172 -2.617 2.858
```

Results
E_tot ... -3.12 eV per atom
SG ... F-43m

No. 26
Here is a geometry-optimized BeAg3Sn5 structure from the Open Quantum Materials Database. Energies are from GGA-PBE.

Structure (POSCAR):
```
BeAg3Sn5
1.0
7.819 0.000 0.000
-3.909 6.771 0.000
0.000 0.000 3.866
Be Ag Sn
1 3 5
Cartesian
0.000 0.000 1.933
-2.554 4.424 1.933
5.108 0.000 1.933
1.355 2.347 1.933
3.909 2.257 0.000
-0.936 1.621 0.000
1.872 0.000 0.000
2.973 5.150 0.000
0.000 4.514 0.000
```

Results
E_tot ... -3.38 eV per atom
SG ... P-62m

No. 27
Here is a geometry-optimized SrBe2Ag structure from the Open Quantum Materials Database. Energies are from GGA-PBE.

Structure (POSCAR):
```
SrBe2Ag
1.0
4.110 -2.312 -0.748
0.491 -4.524 1.444
0.207 -3.523 -3.216
Be Ag Sr
2 1 1
Cartesian
1.202 -2.590 -0.630
0.000 0.000 0.000
2.404 -5.179 -1.260
3.605 -7.769 -1.890
```

Results
E_tot ... -2.38 eV per atom
SG ... F-43m

No. 28
Here is a geometry-optimized SrBeAg structure from the Open Quantum Materials Database. Energies are from GGA-PBE.

Structure (POSCAR):
```
SrBeAg
1.0
-2.886 0.338 4.104
-0.882 4.488 2.091
-4.576 2.062 -0.308
Sr Ag Be
1 1 1
Cartesian
0.000 0.000 0.000
-2.086 1.722 1.472
-6.258 5.166 4.416
```

Results
E_tot ... -1.95 eV per atom
SG ... F-43m

No. 29
Here is a geometry-optimized Ta2BeAg structure from the Open Quantum Materials Database. Energies are from GGA-PBE.

Structure (POSCAR):
```
Ta2BeAg
1.0
0.000 3.202 3.202
3.202 0.000 3.202
3.202 3.202 0.000
Be Ta Ag
1 2 1
Cartesian
3.202 3.202 3.202
0.000 0.000 0.000
4.803 4.803 4.803
1.601 1.601 1.601
```

Results
E_tot ... -6.90 eV per atom
SG ... F-43m

No. 30
Here is a geometry-optimized TaBe2Ag structure from the Open Quantum Materials Database. Energies are from GGA-PBE.

Structure (POSCAR):
```
TaBe2Ag
1.0
0.000 3.027 3.027
3.027 0.000 3.027
3.027 3.027 0.000
Be Ag Ta
2 1 1
Cartesian
1.514 1.514 1.514
0.000 0.000 0.000
3.027 3.027 3.027
4.541 4.541 4.541
```

Results
E_tot ... -5.00 eV per atom
SG ... F-43m